(1)
## Rb3Au3Cl8 (PBE)

Data for crystalline Rb3Au3Cl8 at its relaxed geometry.

Summary:
SG ... No. 15
V ... 833.29 Å³ per cell
Raw total energy ... -3.0038 eV per atom

```
data_Rb3Au3Cl8
_space_group_name_H-M_alt 'P 1'
_space_group_IT_number 1
_space_group_name_Hall 'P 1'
_cell_length_a 7.144
_cell_length_b 7.144
_cell_length_c 18.329
_cell_angle_alpha 97.38
_cell_angle_beta 97.38
_cell_angle_gamma 64.31
loop_
_atom_site_label
_atom_site_type_symbol
_atom_site_fract_x
_atom_site_fract_y
_atom_site_fract_z
_atom_site_occupancy
Rb1 Rb 0.683 0.684 0.081 1
Cl1 Cl 0.208 0.154 0.567 1
Cl2 Cl 0.846 0.792 0.933 1
Cl3 Cl 0.154 0.208 0.067 1
Rb2 Rb 0.684 0.683 0.581 1
Cl4 Cl 0.840 0.287 0.427 1
Au1 Au 0.000 0.000 0.000 1
Rb3 Rb 0.317 0.316 0.919 1
Au2 Au 0.000 0.000 0.500 1
Cl5 Cl 0.503 0.910 0.747 1
Au3 Au 0.389 0.386 0.692 1
Au4 Au 0.614 0.611 0.808 1
Cl6 Cl 0.325 0.749 0.377 1
Cl7 Cl 0.160 0.713 0.573 1
Cl8 Cl 0.251 0.675 0.123 1
Rb4 Rb 0.316 0.317 0.419 1
Rb5 Rb 0.983 0.017 0.250 1
Cl9 Cl 0.090 0.497 0.753 1
Cl10 Cl 0.675 0.251 0.623 1
Cl11 Cl 0.287 0.840 0.927 1
Cl12 Cl 0.749 0.325 0.877 1
Cl13 Cl 0.792 0.846 0.433 1
Au5 Au 0.386 0.389 0.192 1
Cl14 Cl 0.910 0.503 0.247 1
Au6 Au 0.611 0.614 0.308 1
Cl15 Cl 0.713 0.160 0.073 1
Rb6 Rb 0.017 0.983 0.750 1
Cl16 Cl 0.497 0.090 0.253 1
```

=====

(2)
## Rb2SbAuCl6 (PBE)

Data for crystalline Rb2SbAuCl6 at its relaxed geometry.

Summary:
Energy above the most stable polymorph in this dataset ... 0 meV/atom
SG ... No. 87
V ... 298.47 Å³ per cell

```
data_Rb2SbAuCl6
_space_group_name_H-M_alt 'P 1'
_space_group_IT_number 1
_space_group_name_Hall 'P 1'
_cell_length_a 7.593
_cell_length_b 7.593
_cell_length_c 7.593
_cell_angle_alpha 122.22
_cell_angle_beta 122.22
_cell_angle_gamma 86.20
loop_
_atom_site_label
_atom_site_type_symbol
_atom_site_fract_x
_atom_site_fract_y
_atom_site_fract_z
_atom_site_occupancy
Cl1 Cl 0.806 0.691 0.498 1
Rb1 Rb 0.250 0.750 0.500 1
Cl2 Cl 0.691 0.194 0.885 1
Au1 Au 0.500 0.500 0.000 1
Cl3 Cl 0.194 0.309 0.502 1
Sb1 Sb 0.000 0.000 0.000 1
Cl4 Cl 0.240 0.240 0.000 1
Cl5 Cl 0.760 0.760 0.000 1
Cl6 Cl 0.309 0.806 0.115 1
Rb2 Rb 0.750 0.250 0.500 1
```

=====

(3)
## Rb2SbAuCl6 (PBE)

Data for crystalline Rb2SbAuCl6 at its relaxed geometry.

Summary:
Energy above the most stable polymorph in this dataset ... 8 meV/atom
SG ... No. 225
V ... 302.05 Å³ per cell

```
data_Rb2SbAuCl6
_space_group_name_H-M_alt 'P 1'
_space_group_IT_number 1
_space_group_name_Hall 'P 1'
_cell_length_a 7.531
_cell_length_b 7.531
_cell_length_c 7.531
_cell_angle_alpha 60.00
_cell_angle_beta 60.00
_cell_angle_gamma 60.00
loop_
_atom_site_label
_atom_site_type_symbol
_atom_site_fract_x
_atom_site_fract_y
_atom_site_fract_z
_atom_site_occupancy
Cl1 Cl 0.749 0.251 0.749 1
Rb1 Rb 0.750 0.750 0.750 1
Sb1 Sb 0.500 0.500 0.500 1
Cl2 Cl 0.251 0.749 0.749 1
Cl3 Cl 0.251 0.251 0.749 1
Cl4 Cl 0.749 0.251 0.251 1
Rb2 Rb 0.250 0.250 0.250 1
Cl5 Cl 0.749 0.749 0.251 1
Cl6 Cl 0.251 0.749 0.251 1
Au1 Au 0.000 0.000 0.000 1
```

=====

(4)
## Rb2ScAuCl6 (PBE)

Data for crystalline Rb2ScAuCl6 at its relaxed geometry.

Summary:
SG ... No. 225
V ... 281.55 Å³ per cell
Raw total energy ... -3.8792 eV per atom
Total moment ... 0.00 μB per formula unit

```
data_Rb2ScAuCl6
_space_group_name_H-M_alt 'P 1'
_space_group_IT_number 1
_space_group_name_Hall 'P 1'
_cell_length_a 7.357
_cell_length_b 7.357
_cell_length_c 7.357
_cell_angle_alpha 60.00
_cell_angle_beta 60.00
_cell_angle_gamma 60.00
loop_
_atom_site_label
_atom_site_type_symbol
_atom_site_fract_x
_atom_site_fract_y
_atom_site_fract_z
_atom_site_occupancy
Cl1 Cl 0.261 0.261 0.739 1
Sc1 Sc 0.500 0.500 0.500 1
Rb1 Rb 0.250 0.250 0.250 1
Cl2 Cl 0.261 0.739 0.261 1
Cl3 Cl 0.739 0.261 0.261 1
Cl4 Cl 0.739 0.739 0.261 1
Rb2 Rb 0.750 0.750 0.750 1
Cl5 Cl 0.261 0.739 0.739 1
Au1 Au 0.000 0.000 0.000 1
Cl6 Cl 0.739 0.261 0.739 1
```

=====

(5)
## AuS6Cl (PBE)

Data for crystalline AuS6Cl at its relaxed geometry.

Summary:
SG ... No. 216
V ... 186.57 Å³ per cell
Raw total energy ... -2.7075 eV per atom

```
data_AuS6Cl
_space_group_name_H-M_alt 'P 1'
_space_group_IT_number 1
_space_group_name_Hall 'P 1'
_cell_length_a 6.414
_cell_length_b 6.414
_cell_length_c 6.414
_cell_angle_alpha 60.00
_cell_angle_beta 60.00
_cell_angle_gamma 60.00
loop_
_atom_site_label
_atom_site_type_symbol
_atom_site_fract_x
_atom_site_fract_y
_atom_site_fract_z
_atom_site_occupancy
S1 S 0.561 0.939 0.561 1
Cl1 Cl 0.250 0.250 0.250 1
S2 S 0.561 0.561 0.939 1
Au1 Au 0.000 0.000 0.000 1
S3 S 0.939 0.561 0.561 1
S4 S 0.939 0.939 0.561 1
S5 S 0.561 0.939 0.939 1
S6 S 0.939 0.561 0.939 1
```

=====

(6)
## AuSCl5 (PBE)

Data for crystalline AuSCl5 at its relaxed geometry.

Summary:
SG ... No. 14
V ... 781.23 Å³ per cell
Raw total energy ... -2.6129 eV per atom

```
data_AuSCl5
_space_group_name_H-M_alt 'P 1'
_space_group_IT_number 1
_space_group_name_Hall 'P 1'
_cell_length_a 8.043
_cell_length_b 12.017
_cell_length_c 8.246
_cell_angle_alpha 90.00
_cell_angle_beta 90.00
_cell_angle_gamma 101.43
loop_
_atom_site_label
_atom_site_type_symbol
_atom_site_fract_x
_atom_site_fract_y
_atom_site_fract_z
_atom_site_occupancy
Cl1 Cl 0.162 0.244 0.610 1
Cl2 Cl 0.200 0.954 0.531 1
Cl3 Cl 0.887 0.378 0.666 1
Cl4 Cl 0.300 0.546 0.031 1
Cl5 Cl 0.338 0.256 0.110 1
Cl6 Cl 0.842 0.017 0.843 1
Cl7 Cl 0.700 0.454 0.969 1
Cl8 Cl 0.838 0.756 0.390 1
Cl9 Cl 0.800 0.046 0.469 1
Cl10 Cl 0.469 0.822 0.304 1
Au1 Au 0.066 0.156 0.169 1
Cl11 Cl 0.531 0.178 0.696 1
Cl12 Cl 0.387 0.878 0.834 1
Cl13 Cl 0.613 0.122 0.166 1
Cl14 Cl 0.342 0.517 0.657 1
S1 S 0.798 0.038 0.225 1
Cl15 Cl 0.658 0.483 0.343 1
Cl16 Cl 0.969 0.322 0.196 1
S2 S 0.202 0.962 0.775 1
S3 S 0.298 0.538 0.275 1
Au2 Au 0.934 0.844 0.831 1
S4 S 0.702 0.462 0.725 1
Cl17 Cl 0.031 0.678 0.804 1
Au3 Au 0.566 0.656 0.331 1
Au4 Au 0.434 0.344 0.669 1
Cl18 Cl 0.158 0.983 0.157 1
Cl19 Cl 0.113 0.622 0.334 1
Cl20 Cl 0.662 0.744 0.890 1
```

=====

(7)
## Au6SCl (PBE)

Data for crystalline Au6SCl at its relaxed geometry.

Summary:
SG ... No. 216
V ... 190.89 Å³ per cell
Raw total energy ... -2.6078 eV per atom

```
data_Au6SCl
_space_group_name_H-M_alt 'P 1'
_space_group_IT_number 1
_space_group_name_Hall 'P 1'
_cell_length_a 6.463
_cell_length_b 6.463
_cell_length_c 6.463
_cell_angle_alpha 60.00
_cell_angle_beta 60.00
_cell_angle_gamma 60.00
loop_
_atom_site_label
_atom_site_type_symbol
_atom_site_fract_x
_atom_site_fract_y
_atom_site_fract_z
_atom_site_occupancy
Cl1 Cl 0.500 0.500 0.500 1
S1 S 0.250 0.250 0.250 1
Au1 Au 0.784 0.216 0.216 1
Au2 Au 0.784 0.216 0.784 1
Au3 Au 0.216 0.784 0.216 1
Au4 Au 0.216 0.784 0.784 1
Au5 Au 0.216 0.216 0.784 1
Au6 Au 0.784 0.784 0.216 1
```

=====

(8)
## AuSCl7 (PBE)

Data for crystalline AuSCl7 at its relaxed geometry.

Summary:
SG ... No. 14
V ... 987.75 Å³ per cell
Raw total energy ... -2.4847 eV per atom

```
data_AuSCl7
_space_group_name_H-M_alt 'P 1'
_space_group_IT_number 1
_space_group_name_Hall 'P 1'
_cell_length_a 8.650
_cell_length_b 10.229
_cell_length_c 11.690
_cell_angle_alpha 90.00
_cell_angle_beta 107.26
_cell_angle_gamma 90.00
loop_
_atom_site_label
_atom_site_type_symbol
_atom_site_fract_x
_atom_site_fract_y
_atom_site_fract_z
_atom_site_occupancy
Cl1 Cl 0.305 0.430 0.124 1
Cl2 Cl 0.137 0.041 0.867 1
Cl3 Cl 0.947 0.259 0.073 1
Cl4 Cl 0.137 0.459 0.367 1
Cl5 Cl 0.097 0.403 0.851 1
Cl6 Cl 0.903 0.597 0.149 1
Cl7 Cl 0.695 0.930 0.376 1
S1 S 0.761 0.797 0.511 1
Cl8 Cl 0.695 0.570 0.876 1
S2 S 0.761 0.703 0.011 1
Cl9 Cl 0.444 0.210 0.436 1
Cl10 Cl 0.556 0.710 0.064 1
Cl11 Cl 0.300 0.731 0.699 1
Cl12 Cl 0.863 0.541 0.633 1
Cl13 Cl 0.619 0.931 0.855 1
Cl14 Cl 0.381 0.069 0.145 1
Cl15 Cl 0.444 0.290 0.936 1
Cl16 Cl 0.863 0.959 0.133 1
Cl17 Cl 0.947 0.241 0.573 1
Cl18 Cl 0.619 0.569 0.355 1
Cl19 Cl 0.305 0.070 0.624 1
Au1 Au 0.784 0.406 0.465 1
Au2 Au 0.216 0.594 0.535 1
Au3 Au 0.216 0.906 0.035 1
Cl20 Cl 0.300 0.769 0.199 1
Cl21 Cl 0.903 0.903 0.649 1
Cl22 Cl 0.097 0.097 0.351 1
Cl23 Cl 0.556 0.790 0.564 1
S3 S 0.239 0.203 0.489 1
Au4 Au 0.784 0.094 0.965 1
Cl24 Cl 0.700 0.269 0.301 1
S4 S 0.239 0.297 0.989 1
Cl25 Cl 0.700 0.231 0.801 1
Cl26 Cl 0.381 0.431 0.645 1
Cl27 Cl 0.053 0.741 0.927 1
Cl28 Cl 0.053 0.759 0.427 1
```

=====

(9)
## AuSe6Cl (PBE)

Data for crystalline AuSe6Cl at its relaxed geometry.

Summary:
SG ... No. 216
V ... 222.75 Å³ per cell
Raw total energy ... -2.5803 eV per atom

```
data_AuSe6Cl
_space_group_name_H-M_alt 'P 1'
_space_group_IT_number 1
_space_group_name_Hall 'P 1'
_cell_length_a 6.804
_cell_length_b 6.804
_cell_length_c 6.804
_cell_angle_alpha 60.00
_cell_angle_beta 60.00
_cell_angle_gamma 60.00
loop_
_atom_site_label
_atom_site_type_symbol
_atom_site_fract_x
_atom_site_fract_y
_atom_site_fract_z
_atom_site_occupancy
Se1 Se 0.948 0.948 0.552 1
Se2 Se 0.948 0.552 0.552 1
Se3 Se 0.552 0.552 0.948 1
Au1 Au 0.000 0.000 0.000 1
Se4 Se 0.552 0.948 0.948 1
Se5 Se 0.948 0.552 0.948 1
Cl1 Cl 0.250 0.250 0.250 1
Se6 Se 0.552 0.948 0.552 1
```

=====

(10)
## SrAu2Cl8 (PBE)

Data for crystalline SrAu2Cl8 at its relaxed geometry.

Summary:
SG ... No. 97
V ... 307.38 Å³ per cell
Raw total energy ... -2.9539 eV per atom

```
data_SrAu2Cl8
_space_group_name_H-M_alt 'P 1'
_space_group_IT_number 1
_space_group_name_Hall 'P 1'
_cell_length_a 7.974
_cell_length_b 7.974
_cell_length_c 7.974
_cell_angle_alpha 127.79
_cell_angle_beta 127.79
_cell_angle_gamma 76.97
loop_
_atom_site_label
_atom_site_type_symbol
_atom_site_fract_x
_atom_site_fract_y
_atom_site_fract_z
_atom_site_occupancy
Cl1 Cl 0.716 0.552 0.509 1
Cl2 Cl 0.044 0.207 0.491 1
Cl3 Cl 0.284 0.793 0.836 1
Cl4 Cl 0.207 0.716 0.164 1
Cl5 Cl 0.956 0.448 0.164 1
Sr1 Sr 0.500 0.500 0.000 1
Cl6 Cl 0.793 0.956 0.509 1
Cl7 Cl 0.552 0.044 0.836 1
Au1 Au 0.250 0.750 0.500 1
Au2 Au 0.750 0.250 0.500 1
Cl8 Cl 0.448 0.284 0.491 1
```

=====

(11)
## Tl3AuCl6 (PBE)

Data for crystalline Tl3AuCl6 at its relaxed geometry.

Summary:
SG ... No. 225
V ... 295.40 Å³ per cell
Raw total energy ... -2.8216 eV per atom

```
data_Tl3AuCl6
_space_group_name_H-M_alt 'P 1'
_space_group_IT_number 1
_space_group_name_Hall 'P 1'
_cell_length_a 7.476
_cell_length_b 7.476
_cell_length_c 7.476
_cell_angle_alpha 60.00
_cell_angle_beta 60.00
_cell_angle_gamma 60.00
loop_
_atom_site_label
_atom_site_type_symbol
_atom_site_fract_x
_atom_site_fract_y
_atom_site_fract_z
_atom_site_occupancy
Cl1 Cl 0.244 0.756 0.756 1
Cl2 Cl 0.756 0.244 0.244 1
Cl3 Cl 0.756 0.756 0.244 1
Cl4 Cl 0.244 0.244 0.756 1
Tl1 Tl 0.250 0.250 0.250 1
Tl2 Tl 0.750 0.750 0.750 1
Au1 Au 0.000 0.000 0.000 1
Tl3 Tl 0.500 0.500 0.500 1
Cl5 Cl 0.244 0.756 0.244 1
Cl6 Cl 0.756 0.244 0.756 1
```